# Ba3Li6In5

A relaxed Ba3Li6In5 crystal (GGA-PBE, Alexandria via LeMat-Bulk).

Cell lengths 9.465, 9.465, 9.465 Å; angles 148.42, 116.46, 72.70 degrees
Sites, in units of the cell vectors:
Ba 0.000 0.000 0.000
Ba 0.305 0.305 0.000
Ba 0.695 0.695 0.000
Li 0.155 0.864 0.290
Li 0.308 0.500 0.808
Li 0.426 0.136 0.290
Li 0.574 0.864 0.710
Li 0.692 0.500 0.192
Li 0.845 0.136 0.710
In 0.016 0.668 0.349
In 0.319 0.668 0.651
In 0.500 0.000 0.500
In 0.681 0.332 0.349
In 0.984 0.332 0.651

Values from the calculation:
**Density**: 4.36 Mg/m³
**Magnetic moment**: 0.00 μB/cell
**DOS at the Fermi energy**: 10.9 states/eV/f.u.
**Space-group type**: Immm (71)
**Raw total energy**: -34.90 eV/cell


# BaLi4In

A relaxed BaLi4In crystal (GGA-PBE, Alexandria via LeMat-Bulk).

Cell lengths 5.914, 5.914, 5.914 Å; angles 60.00, 60.00, 60.00 degrees
Sites, in units of the cell vectors:
Ba 0.000 0.000 0.000
Li 0.379 0.379 0.379
Li 0.379 0.379 0.864
Li 0.379 0.864 0.379
Li 0.864 0.379 0.379
In 0.750 0.750 0.750

Values from the calculation:
**Density**: 3.18 Mg/m³
**Magnetic moment**: 0.00 μB/cell
**DOS at the Fermi energy**: 3.8 states/eV/f.u.
**Space-group type**: F-43m (216)
**Raw total energy**: -13.19 eV/cell


# BaLi3In2

A relaxed BaLi3In2 crystal (GGA-PBE, Alexandria via LeMat-Bulk).

Cell lengths 7.259, 7.259, 6.148 Å; angles 90.00, 90.00, 81.35 degrees
Sites, in units of the cell vectors:
Ba 0.179 0.821 0.750
Ba 0.821 0.179 0.250
Li 0.042 0.572 0.250
Li 0.428 0.958 0.250
Li 0.453 0.547 0.250
Li 0.547 0.453 0.750
Li 0.572 0.042 0.750
Li 0.958 0.428 0.750
In 0.281 0.281 0.000
In 0.281 0.281 0.500
In 0.719 0.719 0.000
In 0.719 0.719 0.500

Values from the calculation:
**Density**: 4.02 Mg/m³
**Magnetic moment**: 0.00 μB/cell
**DOS at the Fermi energy**: 3.7 states/eV/f.u.
**Space-group type**: Cmcm (63)
**Raw total energy**: -29.38 eV/cell


# Ba2LiIn2

A relaxed Ba2LiIn2 crystal (GGA-PBE, Alexandria via LeMat-Bulk).

Cell lengths 11.007, 11.007, 11.007 Å; angles 157.01, 157.01, 32.74 degrees
Sites, in units of the cell vectors:
Ba 0.107 0.107 0.000
Ba 0.893 0.893 0.000
Li 0.500 0.500 0.000
In 0.250 0.750 0.500
In 0.750 0.250 0.500

Values from the calculation:
**Density**: 4.18 Mg/m³
**Magnetic moment**: 0.00 μB/cell
**DOS at the Fermi energy**: 4.8 states/eV/f.u.
**Space-group type**: I4/mmm (139)
**Raw total energy**: -11.49 eV/cell
**ΔE to the lowest computed polymorph**: 281 meV/atom


# Ba2LiIn2

A relaxed Ba2LiIn2 crystal (GGA-PBE, Alexandria via LeMat-Bulk).

Cell lengths 6.498, 6.498, 12.634 Å; angles 114.18, 114.18, 49.51 degrees
Sites, in units of the cell vectors:
Ba 0.091 0.091 0.390
Ba 0.318 0.318 0.828
Ba 0.682 0.682 0.172
Ba 0.909 0.909 0.610
Li 0.353 0.353 0.134
Li 0.647 0.647 0.866
In 0.076 0.076 0.933
In 0.389 0.389 0.385
In 0.611 0.611 0.615
In 0.924 0.924 0.067

Values from the calculation:
**Density**: 4.69 Mg/m³
**Magnetic moment**: 0.00 μB/cell
**DOS at the Fermi energy**: 4.7 states/eV/f.u.
**Space-group type**: C2/m (12)
**Raw total energy**: -25.79 eV/cell
**ΔE to the lowest computed polymorph**: 0 meV/atom


# Ba3Li9In2

A relaxed Ba3Li9In2 crystal (GGA-PBE, Alexandria via LeMat-Bulk).

Cell lengths 9.521, 9.521, 9.521 Å; angles 149.05, 109.94, 78.54 degrees
Sites, in units of the cell vectors:
Ba 0.000 0.000 0.000
Ba 0.314 0.314 0.000
Ba 0.686 0.686 0.000
Li 0.011 0.680 0.331
Li 0.177 0.894 0.282
Li 0.349 0.680 0.669
Li 0.388 0.106 0.282
Li 0.500 0.000 0.500
Li 0.612 0.894 0.718
Li 0.651 0.320 0.331
Li 0.823 0.106 0.718
Li 0.989 0.320 0.669
In 0.284 0.500 0.784
In 0.716 0.500 0.216

Values from the calculation:
**Density**: 2.86 Mg/m³
**Magnetic moment**: 0.00 μB/cell
**DOS at the Fermi energy**: 8.5 states/eV/f.u.
**Space-group type**: Immm (71)
**Raw total energy**: -29.96 eV/cell


# Ba12Li2In5

A relaxed Ba12Li2In5 crystal (GGA-PBE, Alexandria via LeMat-Bulk).

Cell lengths 10.186, 10.186, 11.883 Å; angles 96.38, 96.38, 50.14 degrees
Sites, in units of the cell vectors:
Ba 0.021 0.021 0.297
Ba 0.065 0.553 0.871
Ba 0.092 0.609 0.437
Ba 0.391 0.908 0.563
Ba 0.429 0.429 0.185
Ba 0.447 0.935 0.129
Ba 0.553 0.065 0.871
Ba 0.571 0.571 0.815
Ba 0.609 0.092 0.437
Ba 0.908 0.391 0.563
Ba 0.935 0.447 0.129
Ba 0.979 0.979 0.703
Li 0.160 0.840 0.000
Li 0.840 0.160 0.000
In 0.142 0.142 0.886
In 0.212 0.212 0.353
In 0.500 0.500 0.500
In 0.788 0.788 0.647
In 0.858 0.858 0.114

Values from the calculation:
**Density**: 3.95 Mg/m³
**Magnetic moment**: 0.02 μB/cell
**DOS at the Fermi energy**: 25.2 states/eV/f.u.
**Space-group type**: C2/m (12)
**Raw total energy**: -43.08 eV/cell


# Ba6Li15In8

A relaxed Ba6Li15In8 crystal (GGA-PBE, Alexandria via LeMat-Bulk).

Cell lengths 10.452, 10.452, 10.452 Å; angles 60.00, 60.00, 60.00 degrees
Sites, in units of the cell vectors:
Ba 0.217 0.217 0.783
Ba 0.217 0.783 0.217
Ba 0.217 0.783 0.783
Ba 0.783 0.217 0.217
Ba 0.783 0.217 0.783
Ba 0.783 0.783 0.217
Li 0.000 0.000 0.500
Li 0.000 0.500 0.000
Li 0.000 0.500 0.500
Li 0.180 0.180 0.180
Li 0.180 0.180 0.460
Li 0.180 0.460 0.180
Li 0.460 0.180 0.180
Li 0.500 0.000 0.000
Li 0.500 0.000 0.500
Li 0.500 0.500 0.000
Li 0.500 0.500 0.500
Li 0.540 0.820 0.820
Li 0.820 0.540 0.820
Li 0.820 0.820 0.540
Li 0.820 0.820 0.820
In 0.121 0.626 0.626
In 0.374 0.374 0.374
In 0.374 0.374 0.879
In 0.374 0.879 0.374
In 0.626 0.121 0.626
In 0.626 0.626 0.121
In 0.626 0.626 0.626
In 0.879 0.374 0.374

Values from the calculation:
**Density**: 3.80 Mg/m³
**Magnetic moment**: 0.49 μB/cell
**DOS at the Fermi energy**: 21.4 states/eV/f.u.
**Space-group type**: Fm-3m (225)
**Raw total energy**: -68.08 eV/cell